## one
Below is a relaxed structure of Ag2H2Au, with properties calculated at the PBE-GGA level.

The structure in CIF format:
```
data_Ag2H2Au
_chemical_formula_sum 'Ag4 H4 Au2'
_cell_length_a 3.448
_cell_length_b 3.448
_cell_length_c 10.372
_cell_angle_alpha 90.00
_cell_angle_beta 90.00
_cell_angle_gamma 90.00
_symmetry_space_group_name_H-M 'I 4/m m m'
_symmetry_Int_Tables_number 139
_symmetry_space_group_name_Hall '-I 4 2'
loop_
_atom_site_label
_atom_site_type_symbol
_atom_site_fract_x
_atom_site_fract_y
_atom_site_fract_z
Ag1 Ag 0.000 0.000 0.153
H1 H 0.000 0.500 0.250
Au1 Au 0.000 0.000 0.500
```

---

## two
Below is a relaxed structure of Ag2H2Au, with properties calculated at the PBE-GGA level.

The structure in CIF format:
```
data_Ag2H2Au
_chemical_formula_sum 'Ag4 H4 Au2'
_cell_length_a 5.806
_cell_length_b 5.806
_cell_length_c 4.039
_cell_angle_alpha 90.00
_cell_angle_beta 90.00
_cell_angle_gamma 90.00
_symmetry_space_group_name_H-M 'P 4/m b m'
_symmetry_Int_Tables_number 127
_symmetry_space_group_name_Hall '-P 4 2ab'
loop_
_atom_site_label
_atom_site_type_symbol
_atom_site_fract_x
_atom_site_fract_y
_atom_site_fract_z
Ag1 Ag 0.248 0.252 0.000
H1 H 0.249 0.251 0.500
Au1 Au 0.000 0.000 0.500
```

---

Most stable to least stable, the ends of the list are two and one.

---

## one
Below is a relaxed structure of Ag3HAu, with properties calculated at the PBE-GGA level.

The structure in CIF format:
```
data_Ag3HAu
_chemical_formula_sum 'Ag3 H1 Au1'
_cell_length_a 5.257
_cell_length_b 5.257
_cell_length_c 5.257
_cell_angle_alpha 90.00
_cell_angle_beta 90.00
_cell_angle_gamma 90.00
_symmetry_space_group_name_H-M 'P m -3 m'
_symmetry_Int_Tables_number 221
_symmetry_space_group_name_Hall '-P 4 2 3'
loop_
_atom_site_label
_atom_site_type_symbol
_atom_site_fract_x
_atom_site_fract_y
_atom_site_fract_z
Ag1 Ag 0.000 0.000 0.500
H1 H 0.500 0.500 0.500
Au1 Au 0.000 0.000 0.000
```

---

## two
Below is a relaxed structure of Ag3HAu, with properties calculated at the PBE-GGA level.

The structure in CIF format:
```
data_Ag3HAu
_chemical_formula_sum 'Ag3 H1 Au1'
_cell_length_a 4.209
_cell_length_b 4.209
_cell_length_c 4.209
_cell_angle_alpha 90.00
_cell_angle_beta 90.00
_cell_angle_gamma 90.00
_symmetry_space_group_name_H-M 'P m -3 m'
_symmetry_Int_Tables_number 221
_symmetry_space_group_name_Hall '-P 4 2 3'
loop_
_atom_site_label
_atom_site_type_symbol
_atom_site_fract_x
_atom_site_fract_y
_atom_site_fract_z
Ag1 Ag 0.000 0.000 0.500
H1 H 0.000 0.000 0.000
Au1 Au 0.500 0.500 0.500
```

---

Most stable to least stable, the ends of the list are two and one.

---

## one
Below is a relaxed structure of AgH2Au, with properties calculated at the PBE-GGA level.

The structure in CIF format:
```
data_AgH2Au
_chemical_formula_sum 'Ag4 H8 Au4'
_cell_length_a 4.557
_cell_length_b 4.557
_cell_length_c 8.957
_cell_angle_alpha 90.00
_cell_angle_beta 90.00
_cell_angle_gamma 90.00
_symmetry_space_group_name_H-M 'I -4 2 d'
_symmetry_Int_Tables_number 122
_symmetry_space_group_name_Hall 'I -4 2bw'
loop_
_atom_site_label
_atom_site_type_symbol
_atom_site_fract_x
_atom_site_fract_y
_atom_site_fract_z
Ag1 Ag 0.000 0.000 0.000
H1 H 0.221 0.250 0.625
Au1 Au 0.000 0.000 0.500
```

---

## two
Below is a relaxed structure of AgH2Au, with properties calculated at the PBE-GGA level.

The structure in CIF format:
```
data_AgH2Au
_chemical_formula_sum 'Ag4 H8 Au4'
_cell_length_a 5.592
_cell_length_b 5.592
_cell_length_c 5.592
_cell_angle_alpha 90.00
_cell_angle_beta 90.00
_cell_angle_gamma 90.00
_symmetry_space_group_name_H-M 'F m -3 m'
_symmetry_Int_Tables_number 225
_symmetry_space_group_name_Hall '-F 4 2 3'
loop_
_atom_site_label
_atom_site_type_symbol
_atom_site_fract_x
_atom_site_fract_y
_atom_site_fract_z
Ag1 Ag 0.000 0.000 0.000
H1 H 0.250 0.250 0.250
Au1 Au 0.000 0.000 0.500
```

---

## three
Below is a relaxed structure of AgH2Au, with properties calculated at the PBE-GGA level.

The structure in CIF format:
```
data_AgH2Au
_chemical_formula_sum 'Ag3 H6 Au3'
_cell_length_a 3.3463
_cell_length_b 3.3463
_cell_length_c 15.1171
_cell_angle_alpha 90.00
_cell_angle_beta 90.00
_cell_angle_gamma 120.00
_symmetry_space_group_name_H-M 'R -3 m'
_symmetry_Int_Tables_number 166
_symmetry_space_group_name_Hall '-R 3 2"'
loop_
_atom_site_label
_atom_site_type_symbol
_atom_site_fract_x
_atom_site_fract_y
_atom_site_fract_z
Ag1 Ag 0.0000 0.0000 0.0000
H1 H 0.0000 0.0000 0.3877
Au1 Au 0.0000 0.0000 0.5000
```

---

Most stable to least stable, the ends of the list are three and two.

---

## one
Below is a relaxed structure of Ag2HAu2, with properties calculated at the PBE-GGA level.

The structure in CIF format:
```
data_Ag2HAu2
_chemical_formula_sum 'Ag4 H2 Au4'
_cell_length_a 5.574
_cell_length_b 5.574
_cell_length_c 5.110
_cell_angle_alpha 90.00
_cell_angle_beta 90.00
_cell_angle_gamma 90.00
_symmetry_space_group_name_H-M 'P 4/m b m'
_symmetry_Int_Tables_number 127
_symmetry_space_group_name_Hall '-P 4 2ab'
loop_
_atom_site_label
_atom_site_type_symbol
_atom_site_fract_x
_atom_site_fract_y
_atom_site_fract_z
Ag1 Ag 0.174 0.326 0.000
H1 H 0.000 0.000 0.500
Au1 Au 0.177 0.677 0.500
```

---

## two
Below is a relaxed structure of Ag2HAu2, with properties calculated at the PBE-GGA level.

The structure in CIF format:
```
data_Ag2HAu2
_chemical_formula_sum 'Ag4 H2 Au4'
_cell_length_a 5.499
_cell_length_b 5.499
_cell_length_c 5.268
_cell_angle_alpha 90.00
_cell_angle_beta 90.00
_cell_angle_gamma 90.00
_symmetry_space_group_name_H-M 'P 4/m b m'
_symmetry_Int_Tables_number 127
_symmetry_space_group_name_Hall '-P 4 2ab'
loop_
_atom_site_label
_atom_site_type_symbol
_atom_site_fract_x
_atom_site_fract_y
_atom_site_fract_z
Ag1 Ag 0.183 0.317 0.000
H1 H 0.000 0.000 0.000
Au1 Au 0.178 0.678 0.500
```

---

Most stable to least stable, the ends of the list are one and two.

---

## one
Below is a relaxed structure of AgHg2HAu, with properties calculated at the PBE-GGA level.

The structure in CIF format:
```
data_AgHg2HAu
_chemical_formula_sum 'Ag1 Hg2 H1 Au1'
_cell_length_a 5.135
_cell_length_b 5.135
_cell_length_c 3.425
_cell_angle_alpha 90.00
_cell_angle_beta 90.00
_cell_angle_gamma 90.00
_symmetry_space_group_name_H-M 'P 4/m m m'
_symmetry_Int_Tables_number 123
_symmetry_space_group_name_Hall '-P 4 2'
loop_
_atom_site_label
_atom_site_type_symbol
_atom_site_fract_x
_atom_site_fract_y
_atom_site_fract_z
Ag1 Ag 0.000 0.000 0.000
Hg1 Hg 0.000 0.500 0.500
H1 H 0.000 0.000 0.500
Au1 Au 0.500 0.500 0.000
```

---

## two
Below is a relaxed structure of AgHg2HAu, with properties calculated at the PBE-GGA level.

The structure in CIF format:
```
data_AgHg2HAu
_chemical_formula_sum 'Ag1 Hg2 H1 Au1'
_cell_length_a 5.133
_cell_length_b 5.133
_cell_length_c 3.484
_cell_angle_alpha 90.00
_cell_angle_beta 90.00
_cell_angle_gamma 90.00
_symmetry_space_group_name_H-M 'P 4/m m m'
_symmetry_Int_Tables_number 123
_symmetry_space_group_name_Hall '-P 4 2'
loop_
_atom_site_label
_atom_site_type_symbol
_atom_site_fract_x
_atom_site_fract_y
_atom_site_fract_z
Ag1 Ag 0.000 0.000 0.000
Hg1 Hg 0.000 0.500 0.500
H1 H 0.500 0.500 0.500
Au1 Au 0.500 0.500 0.000
```

---

Most stable to least stable, the ends of the list are two and one.

---

## one
Below is a relaxed structure of InAg2HAu, with properties calculated at the PBE-GGA level.

The structure in CIF format:
```
data_InAg2HAu
_chemical_formula_sum 'In1 Ag2 H1 Au1'
_cell_length_a 4.184
_cell_length_b 4.184
_cell_length_c 4.563
_cell_angle_alpha 90.00
_cell_angle_beta 90.00
_cell_angle_gamma 90.00
_symmetry_space_group_name_H-M 'P 4/m m m'
_symmetry_Int_Tables_number 123
_symmetry_space_group_name_Hall '-P 4 2'
loop_
_atom_site_label
_atom_site_type_symbol
_atom_site_fract_x
_atom_site_fract_y
_atom_site_fract_z
In1 In 0.000 0.000 0.000
Ag1 Ag 0.000 0.500 0.500
H1 H 0.500 0.500 0.500
Au1 Au 0.500 0.500 0.000
```

---

## two
Below is a relaxed structure of InAg2HAu, with properties calculated at the PBE-GGA level.

The structure in CIF format:
```
data_InAg2HAu
_chemical_formula_sum 'In1 Ag2 H1 Au1'
_cell_length_a 4.049
_cell_length_b 4.049
_cell_length_c 5.091
_cell_angle_alpha 90.00
_cell_angle_beta 90.00
_cell_angle_gamma 90.00
_symmetry_space_group_name_H-M 'P 4/m m m'
_symmetry_Int_Tables_number 123
_symmetry_space_group_name_Hall '-P 4 2'
loop_
_atom_site_label
_atom_site_type_symbol
_atom_site_fract_x
_atom_site_fract_y
_atom_site_fract_z
In1 In 0.000 0.000 0.000
Ag1 Ag 0.000 0.500 0.500
H1 H 0.000 0.000 0.500
Au1 Au 0.500 0.500 0.000
```

---

Most stable to least stable, the ends of the list are two and one.

---

## one
Below is a relaxed structure of La2AgHAu, with properties calculated at the PBE-GGA level.

The structure in CIF format:
```
data_La2AgHAu
_chemical_formula_sum 'La2 Ag1 H1 Au1'
_cell_length_a 5.223
_cell_length_b 5.223
_cell_length_c 4.084
_cell_angle_alpha 90.00
_cell_angle_beta 90.00
_cell_angle_gamma 90.00
_symmetry_space_group_name_H-M 'P 4/m m m'
_symmetry_Int_Tables_number 123
_symmetry_space_group_name_Hall '-P 4 2'
loop_
_atom_site_label
_atom_site_type_symbol
_atom_site_fract_x
_atom_site_fract_y
_atom_site_fract_z
La1 La 0.000 0.500 0.000
Ag1 Ag 0.000 0.000 0.500
H1 H 0.500 0.500 0.000
Au1 Au 0.500 0.500 0.500
```

---

## two
Below is a relaxed structure of La2AgHAu, with properties calculated at the PBE-GGA level.

The structure in CIF format:
```
data_La2AgHAu
_chemical_formula_sum 'La2 Ag1 H1 Au1'
_cell_length_a 5.173
_cell_length_b 5.173
_cell_length_c 4.101
_cell_angle_alpha 90.00
_cell_angle_beta 90.00
_cell_angle_gamma 90.00
_symmetry_space_group_name_H-M 'P 4/m m m'
_symmetry_Int_Tables_number 123
_symmetry_space_group_name_Hall '-P 4 2'
loop_
_atom_site_label
_atom_site_type_symbol
_atom_site_fract_x
_atom_site_fract_y
_atom_site_fract_z
La1 La 0.000 0.500 0.000
Ag1 Ag 0.000 0.000 0.500
H1 H 0.000 0.000 0.000
Au1 Au 0.500 0.500 0.500
```

---

Most stable to least stable, the ends of the list are two and one.

---

## one
Below is a relaxed structure of LiAg2HAu, with properties calculated at the PBE-GGA level.

The structure in CIF format:
```
data_LiAg2HAu
_chemical_formula_sum 'Li1 Ag2 H1 Au1'
_cell_length_a 4.092
_cell_length_b 4.092
_cell_length_c 4.215
_cell_angle_alpha 90.00
_cell_angle_beta 90.00
_cell_angle_gamma 90.00
_symmetry_space_group_name_H-M 'P 4/m m m'
_symmetry_Int_Tables_number 123
_symmetry_space_group_name_Hall '-P 4 2'
loop_
_atom_site_label
_atom_site_type_symbol
_atom_site_fract_x
_atom_site_fract_y
_atom_site_fract_z
Li1 Li 0.000 0.000 0.000
Ag1 Ag 0.000 0.500 0.500
H1 H 0.000 0.000 0.500
Au1 Au 0.500 0.500 0.000
```

---

## two
Below is a relaxed structure of LiAg2HAu, with properties calculated at the PBE-GGA level.

The structure in CIF format:
```
data_LiAg2HAu
_chemical_formula_sum 'Li1 Ag2 H1 Au1'
_cell_length_a 4.289
_cell_length_b 4.289
_cell_length_c 3.937
_cell_angle_alpha 90.00
_cell_angle_beta 90.00
_cell_angle_gamma 90.00
_symmetry_space_group_name_H-M 'P 4/m m m'
_symmetry_Int_Tables_number 123
_symmetry_space_group_name_Hall '-P 4 2'
loop_
_atom_site_label
_atom_site_type_symbol
_atom_site_fract_x
_atom_site_fract_y
_atom_site_fract_z
Li1 Li 0.000 0.000 0.000
Ag1 Ag 0.000 0.500 0.500
H1 H 0.500 0.500 0.500
Au1 Au 0.500 0.500 0.000
```

---

Most stable to least stable, the ends of the list are one and two.